a.
The following is a PBE calculation of Er6Tl5Sn after structural relaxation, from Alexandria.

a b c (Å): 6.3810 6.3810 9.8015
angles (deg): 95.95 95.95 119.16
Fractional coordinates of all 12 atoms:
Er1 0.0833 0.4142 0.7495
Er2 0.2455 0.2455 0.2498
Er3 0.4142 0.0833 0.7495
Er4 0.5858 0.9167 0.2505
Er5 0.7545 0.7545 0.7502
Er6 0.9167 0.5858 0.2505
Tl1 0.1682 0.8318 0.0000
Tl2 0.3336 0.6664 0.5000
Tl3 0.5000 0.5000 0.0000
Tl4 0.6664 0.3336 0.5000
Tl5 0.8318 0.1682 0.0000
Sn1 0.0000 0.0000 0.5000

b.
The following is a PBE calculation of Er6Tl5Sn after structural relaxation, from Alexandria.

a b c (Å): 9.2498 9.2498 9.2498
angles (deg): 146.41 132.44 59.48
Fractional coordinates of all 12 atoms:
Er1 0.0822 0.3355 0.7468
Er2 0.2444 0.0000 0.2444
Er3 0.4113 0.6645 0.7468
Er4 0.5887 0.3355 0.2532
Er5 0.7556 0.0000 0.7556
Er6 0.9178 0.6645 0.2532
Tl1 0.1726 0.1726 0.0000
Tl2 0.3348 0.8348 0.5000
Tl3 0.5000 0.5000 0.0000
Tl4 0.6652 0.1652 0.5000
Tl5 0.8274 0.8274 0.0000
Sn1 0.0000 0.5000 0.5000

Relative energy of each structure, in eV/atom: a 0.060; b 0.000.

a.
The following is a PBE calculation of ErTmSn after structural relaxation, from Alexandria.

a b c (Å): 4.5352 4.5352 16.4142
angles (deg): 90.00 90.00 90.00
Fractional coordinates of all 12 atoms:
Er1 0.0000 0.0000 0.1744
Er2 0.0000 0.0000 0.8256
Er3 0.5000 0.5000 0.3256
Er4 0.5000 0.5000 0.6744
Tm1 0.0000 0.5000 0.0000
Tm2 0.0000 0.5000 0.5000
Tm3 0.5000 0.0000 0.0000
Tm4 0.5000 0.0000 0.5000
Sn1 0.0000 0.0000 0.3629
Sn2 0.0000 0.0000 0.6371
Sn3 0.5000 0.5000 0.1371
Sn4 0.5000 0.5000 0.8629

b.
The following is a PBE calculation of ErTmSn after structural relaxation, from Alexandria.

a b c (Å): 5.0991 5.0991 3.7242
angles (deg): 90.00 90.00 120.00
Fractional coordinates of all 3 atoms:
Er1 0.0000 0.0000 0.0000
Tm1 0.6667 0.3333 0.4500
Sn1 0.3333 0.6667 0.7158

Relative energy of each structure, in eV/atom: a 0.000; b 0.229.

a.
The following is a PBE calculation of Er2TmSn after structural relaxation, from Alexandria.

a b c (Å): 13.0664 5.1025 6.7365
angles (deg): 90.00 90.00 90.00
Fractional coordinates of all 16 atoms:
Er1 0.0662 0.2500 0.1198
Er2 0.1881 0.7500 0.3640
Er3 0.3119 0.2500 0.8640
Er4 0.4338 0.7500 0.6198
Er5 0.5662 0.2500 0.3802
Er6 0.6881 0.7500 0.1360
Er7 0.8119 0.2500 0.6360
Er8 0.9338 0.7500 0.8802
Tm1 0.0739 0.2500 0.6196
Tm2 0.4261 0.7500 0.1196
Tm3 0.5739 0.2500 0.8804
Tm4 0.9261 0.7500 0.3804
Sn1 0.1808 0.7500 0.8682
Sn2 0.3192 0.2500 0.3682
Sn3 0.6808 0.7500 0.6318
Sn4 0.8192 0.2500 0.1318

b.
The following is a PBE calculation of Er2TmSn after structural relaxation, from Alexandria.

a b c (Å): 3.5409 3.5409 9.1154
angles (deg): 90.00 90.00 90.00
Fractional coordinates of all 4 atoms:
Er1 0.0000 0.0000 0.2309
Er2 0.0000 0.0000 0.7691
Tm1 0.5000 0.5000 0.5000
Sn1 0.5000 0.5000 0.0000

Relative energy of each structure, in eV/atom: a 0.000; b 0.087.

a.
The following is a PBE calculation of Er2TmSn after structural relaxation, from Alexandria.

a b c (Å): 4.7596 4.7596 4.7608
angles (deg): 90.00 90.00 90.00
Fractional coordinates of all 4 atoms:
Er1 0.0000 0.5000 0.0000
Er2 0.5000 0.0000 0.0000
Tm1 0.0000 0.0000 0.5000
Sn1 0.5000 0.5000 0.5000

b.
The following is a PBE calculation of Er2TmSn after structural relaxation, from Alexandria.

a b c (Å): 3.4388 3.4388 35.0235
angles (deg): 90.00 90.00 120.00
Fractional coordinates of all 12 atoms:
Er1 0.0000 0.0000 0.0945
Er2 0.0000 0.0000 0.9055
Er3 0.3333 0.6667 0.5722
Er4 0.3333 0.6667 0.7612
Er5 0.6667 0.3333 0.2388
Er6 0.6667 0.3333 0.4278
Tm1 0.0000 0.0000 0.0000
Tm2 0.3333 0.6667 0.6667
Tm3 0.6667 0.3333 0.3333
Sn1 0.0000 0.0000 0.5000
Sn2 0.3333 0.6667 0.1667
Sn3 0.6667 0.3333 0.8333

Relative energy of each structure, in eV/atom: a 0.000; b 0.430.